Computed, not measured: Ca2ThNpP4 after structural relaxation at the PBE-GGA level of DFT.

Unit cell a=7.0951 b=4.1254 c=7.1281 alpha=90.00 beta=109.63 gamma=90.00
Closest atoms and distances in Å follow each position.
Atoms (fractional coordinates):
Ca 0.0000 0.0000 0.0000  6 P 2.94
Ca 0.0000 0.5000 0.5000  6 P 3.01-3.02
Th 0.5000 0.0000 0.5000  6 P 2.88
Np 0.5000 0.5000 0.0000  6 P 2.80
P 0.2642 0.5000 0.2458  1 Np 2.80, 2 Th 2.88, 3 Ca 2.94-3.01
P 0.2709 0.0000 0.7661  2 Np 2.80, 1 Th 2.88, 3 Ca 2.94-3.02
P 0.7291 0.0000 0.2339  2 Np 2.80, 1 Th 2.88, 3 Ca 2.94-3.02
P 0.7358 0.5000 0.7542  1 Np 2.80, 2 Th 2.88, 3 Ca 2.94-3.01

## Properties
The value obtained for the total magnetization is 3.00 μB/cell. For the calculated formation energy, the calculation gives -1.1732 eV per atom. The value obtained for the total energy is -55.389 eV/cell.